[1]
# CeSn

A geometry-optimized CeSn structure (PBE-GGA, Alexandria).

Cell: 6.351 6.351 6.351 Å, 90.00 90.00 90.00°
Space group Fm-3m (No. 225)
Symmetry-distinct sites (fractional):
Ce1 0.000 0.000 0.000 [4 per cell]
Sn1 0.000 0.000 0.500 [4 per cell]

Values from the calculation:
Formation energy ... -0.451 eV per atom
ρ ... 6.71 g/cm³
Crystal system ... cubic

[2]
# Ce3Sn

A geometry-optimized Ce3Sn structure (PBE-GGA, Alexandria).

Cell: 7.601 7.601 7.601 Å, 90.00 90.00 90.00°
Space group Fm-3m (No. 225)
Symmetry-distinct sites (fractional):
Ce1 0.000 0.000 0.000 [4 per cell]
Ce2 0.250 0.250 0.250 [8 per cell]
Sn1 0.000 0.000 0.500 [4 per cell]

Values from the calculation:
Formation energy ... -0.214 eV per atom
ρ ... 8.15 g/cm³
Crystal system ... cubic

[3]
# CeSn2

A geometry-optimized CeSn2 structure (PBE-GGA, Alexandria).

Cell: 8.743 8.743 8.743 Å, 90.00 90.00 90.00°
Space group Fd-3m (No. 227, origin choice 2)
Symmetry-distinct sites (fractional):
Ce1 0.125 0.125 0.125 [8 per cell]
Sn1 0.000 0.000 0.500 [16 per cell]

Values from the calculation:
Formation energy ... -0.328 eV per atom
ρ ... 7.50 g/cm³
Crystal system ... cubic

[4]
# Ce4Sn

A geometry-optimized Ce4Sn structure (PBE-GGA, Alexandria).

Cell: 10.907 10.907 5.273 Å, 90.00 90.00 90.00°
Space group P4/mbm (No. 127)
Symmetry-distinct sites (fractional):
Ce1 0.000 0.000 0.243 [4 per cell]
Ce2 0.092 0.221 0.500 [8 per cell]
Ce3 0.110 0.610 0.500 [4 per cell]
Sn1 0.099 0.401 0.000 [4 per cell]

Values from the calculation:
Formation energy ... 0.327 eV per atom
ρ ... 7.19 g/cm³
Crystal system ... tetragonal

[5]
# Ce3Sn

A geometry-optimized Ce3Sn structure (PBE-GGA, Alexandria).

Cell: 4.782 4.782 4.782 Å, 90.00 90.00 90.00°
Space group Pm-3m (No. 221)
Symmetry-distinct sites (fractional):
Ce1 0.000 0.000 0.500 [3 per cell]
Sn1 0.500 0.500 0.500 [1 per cell]

Values from the calculation:
Formation energy ... -0.410 eV per atom
ρ ... 8.19 g/cm³
Crystal system ... cubic

[6]
# Ce3Sn

A geometry-optimized Ce3Sn structure (PBE-GGA, Alexandria).

Cell: 3.4167 3.4167 32.4074 Å, 90.00 90.00 120.00°
Space group R-3m (No. 166, hexagonal axes)
Symmetry-distinct sites (fractional):
Ce1 0.0000 0.0000 0.0000 [3 per cell]
Ce2 0.0000 0.0000 0.2495 [6 per cell]
Sn1 0.0000 0.0000 0.5000 [3 per cell]

Values from the calculation:
Formation energy ... -0.131 eV per atom
ρ ... 8.20 g/cm³
Crystal system ... trigonal

[7]
# CeSn4

A geometry-optimized CeSn4 structure (PBE-GGA, Alexandria).

Cell: 5.846 5.846 5.846 Å, 90.00 90.00 90.00°
Space group Pm-3m (No. 221)
Symmetry-distinct sites (fractional):
Ce1 0.000 0.000 0.000 [1 per cell]
Sn1 0.000 0.000 0.500 [3 per cell]
Sn2 0.500 0.500 0.500 [1 per cell]

Values from the calculation:
Formation energy ... 0.653 eV per atom
ρ ... 5.11 g/cm³
Crystal system ... cubic

[8]
# Ce7Sn2

A geometry-optimized Ce7Sn2 structure (PBE-GGA, Alexandria).

Cell: 5.4026 5.4026 9.5175 Å, 90.00 90.00 120.00°
Space group P-3m1 (No. 164)
Symmetry-distinct sites (fractional):
Ce1 0.0000 0.0000 0.0000 [1 per cell]
Ce2 0.0000 0.0000 0.3638 [2 per cell]
Ce3 0.3333 0.6667 0.1174 [2 per cell]
Ce4 0.3333 0.6667 0.4119 [2 per cell]
Sn1 0.3333 0.6667 0.7679 [2 per cell]

Values from the calculation:
Formation energy ... -0.223 eV per atom
ρ ... 8.41 g/cm³
Crystal system ... trigonal